Entry 1:
## K5H2Se4 (PBE)

Data for an optimized crystal structure of K5H2Se4.

POSCAR file:
```
K5H2Se4
1.0
5.443 0.000 -1.555
-0.062 8.223 -0.215
-0.425 0.392 8.818
K H Se
5 2 4
Direct
0.870 0.491 0.741
0.130 0.509 0.259
0.835 0.043 0.670
0.500 0.000 0.000
0.165 0.957 0.330
0.383 0.283 0.766
0.617 0.717 0.234
0.295 0.261 0.590
0.987 0.801 0.974
0.705 0.739 0.410
0.013 0.199 0.026
```

Computed properties:
SG   C2/m, No. 12
VASP energy   -3.135 eV per atom
Size of the total moment   0.99 μB per cell


Entry 2:
## La4NdY7 (PBE)

Data for an optimized crystal structure of La4NdY7.

POSCAR file:
```
La4NdY7
1.0
5.986 0.000 0.000
2.993 11.624 -0.480
2.993 0.176 6.112
La Nd Y
4 1 7
Direct
0.634 0.225 0.506
0.366 0.775 0.494
0.704 0.707 0.885
0.296 0.293 0.115
0.000 0.000 0.000
0.794 0.918 0.494
0.206 0.082 0.506
0.035 0.631 0.298
0.965 0.369 0.702
0.354 0.515 0.778
0.500 0.000 0.000
0.646 0.485 0.222
```

Computed properties:
SG   C2/m, No. 12
Size of the total moment   0.00 μB per cell
ΔE_f   0.26 eV/atom


Entry 3:
## Tl2InCl3 (PBE)

Data for an optimized crystal structure of Tl2InCl3.

POSCAR file:
```
Tl2InCl3
1.0
-5.103 3.698 -1.431
-4.526 -7.992 -4.511
0.962 4.805 8.983
Tl In Cl
4 2 6
Direct
0.494 0.916 0.583
0.994 0.417 0.084
0.494 0.583 0.916
0.994 0.084 0.417
0.993 0.745 0.745
0.493 0.255 0.255
0.995 0.924 0.591
0.495 0.409 0.076
0.995 0.591 0.924
0.495 0.076 0.409
0.488 0.813 0.813
0.988 0.187 0.187
```

Computed properties:
SG   Cmc2_1, No. 36
Size of the total moment   0.00 μB per cell
Formation energy (no corrections)   -0.94 eV per atom


Entry 4:
## GeHN (PBE)

Data for an optimized crystal structure of GeHN.

POSCAR file:
```
GeHN
1.0
4.162 0.000 0.001
0.000 3.013 0.000
-1.544 0.000 4.194
Ge H N
1 1 1
Direct
0.130 0.500 0.453
0.566 0.000 0.882
0.358 0.000 0.676
```

Computed properties:
SG   Pm, No. 6
VASP energy   -5.357 eV per atom
Size of the total moment   0.00 μB per cell


Entry 5:
## TiNbRuC2 (PBE)

Data for an optimized crystal structure of TiNbRuC2.

POSCAR file:
```
TiNbRuC2
1.0
4.082 0.000 0.000
0.000 4.908 0.000
0.000 0.000 4.082
Ru Nb C Ti
1 1 2 1
Direct
0.000 0.500 0.000
0.000 0.000 0.000
0.000 0.000 0.500
0.500 0.000 0.000
0.500 0.500 0.500
```

Computed properties:
SG   P4/mmm, No. 123
Size of the total moment   0.00 μB per cell
ΔE_f   1.67 eV/atom


Entry 6:
## Hg2Ir (PBE)

Data for an optimized crystal structure of Hg2Ir.

POSCAR file:
```
Hg2Ir
1.0
-6.206 1.830 -0.879
-4.820 -0.331 -4.392
4.837 -2.619 3.519
Hg Ir
2 1
Direct
0.985 0.985 0.000
0.682 0.682 0.000
0.333 0.333 0.000
```

Computed properties:
SG   I4/mmm, No. 139
Size of the total moment   0.00 μB per cell
ΔE_f   0.51 eV/atom


Entry 7:
## YGe (PBE)

Data for an optimized crystal structure of YGe.

POSCAR file:
```
YGe
1.0
8.005 0.000 0.000
0.000 8.005 0.000
0.000 0.000 8.005
Y Ge
6 6
Direct
0.250 0.500 0.000
0.750 0.500 0.000
0.500 0.000 0.250
0.500 0.000 0.750
0.000 0.250 0.500
0.000 0.750 0.500
0.250 0.000 0.500
0.750 0.000 0.500
0.000 0.500 0.250
0.000 0.500 0.750
0.500 0.250 0.000
0.500 0.750 0.000
```

Computed properties:
SG   Pm-3n, No. 223
Size of the total moment   0.00 μB per cell
ΔE_f   0.14 eV/atom


Entry 8:
## MgNi2Au2 (PBE)

Data for an optimized crystal structure of MgNi2Au2.

POSCAR file:
```
MgNi2Au2
1.0
3.446 0.000 0.000
0.000 3.446 0.000
1.723 1.723 6.806
Ni Mg Au
2 1 2
Direct
0.750 0.250 0.500
0.250 0.750 0.500
0.000 0.000 0.000
0.397 0.397 0.207
0.603 0.603 0.793
```

Computed properties:
SG   I4/mmm, No. 139
Size of the total moment   0.28 μB per cell
ΔE_f   -0.06 eV/atom


Entry 9:
## K3BiTe3 (PBE)

Data for an optimized crystal structure of K3BiTe3.

POSCAR file:
```
K3BiTe3
1.0
-7.526 4.509 -1.358
-0.914 -6.871 5.547
2.472 5.473 6.653
K Bi Te
6 2 6
Direct
0.618 0.618 0.371
0.171 0.829 0.500
0.829 0.171 0.500
0.226 0.774 0.000
0.774 0.226 0.000
0.382 0.382 0.629
0.790 0.790 0.868
0.210 0.210 0.132
0.927 0.927 0.225
0.830 0.515 0.710
0.515 0.830 0.710
0.170 0.485 0.290
0.485 0.170 0.290
0.073 0.073 0.775
```

Computed properties:
SG   C2/m, No. 12
Size of the total moment   0.00 μB per cell
Formation energy (no corrections)   -0.75 eV per atom


Entry 10:
## In15Sn4Hg (PBE)

Data for an optimized crystal structure of In15Sn4Hg.

POSCAR file:
```
In15Sn4Hg
1.0
5.261 0.000 0.000
0.000 5.261 0.000
0.000 0.000 19.678
In Sn Hg
15 4 1
Direct
0.500 0.500 0.000
0.500 0.500 0.198
0.500 0.500 0.398
0.500 0.500 0.602
0.500 0.500 0.802
0.500 0.000 0.097
0.500 0.000 0.298
0.500 0.000 0.500
0.500 0.000 0.702
0.500 0.000 0.903
0.000 0.500 0.097
0.000 0.500 0.298
0.000 0.500 0.500
0.000 0.500 0.702
0.000 0.500 0.903
0.000 0.000 0.199
0.000 0.000 0.400
0.000 0.000 0.600
0.000 0.000 0.801
0.000 0.000 0.000
```

Computed properties:
SG   P4/mmm, No. 123
Size of the total moment   0.00 μB per cell
ΔE_f   0.03 eV/atom


Entry 11:
## TbDy3Pu (PBE)

Data for an optimized crystal structure of TbDy3Pu.

POSCAR file:
```
TbDy3Pu
1.0
5.924 0.775 -2.121
-1.991 5.633 -2.121
0.132 0.216 8.687
Tb Dy Pu
2 6 2
Direct
0.210 0.210 0.120
0.790 0.790 0.880
0.748 0.115 0.285
0.252 0.885 0.715
0.885 0.252 0.715
0.115 0.748 0.285
0.334 0.334 0.567
0.666 0.666 0.433
0.650 0.350 0.000
0.350 0.650 0.000
```

Computed properties:
SG   C2/m, No. 12
Size of the total moment   11.94 μB per cell
ΔE_f   0.15 eV/atom


Question: Which of these has the highest size of the total moment?
Answer: TbDy3Pu


Please write out number 3 again, unchanged.
## Tl2InCl3 (PBE)

Data for an optimized crystal structure of Tl2InCl3.

POSCAR file:
```
Tl2InCl3
1.0
-5.103 3.698 -1.431
-4.526 -7.992 -4.511
0.962 4.805 8.983
Tl In Cl
4 2 6
Direct
0.494 0.916 0.583
0.994 0.417 0.084
0.494 0.583 0.916
0.994 0.084 0.417
0.993 0.745 0.745
0.493 0.255 0.255
0.995 0.924 0.591
0.495 0.409 0.076
0.995 0.591 0.924
0.495 0.076 0.409
0.488 0.813 0.813
0.988 0.187 0.187
```

Computed properties:
SG   Cmc2_1, No. 36
Size of the total moment   0.00 μB per cell
Formation energy (no corrections)   -0.94 eV per atom


Copy entry 6 word for word.
## Hg2Ir (PBE)

Data for an optimized crystal structure of Hg2Ir.

POSCAR file:
```
Hg2Ir
1.0
-6.206 1.830 -0.879
-4.820 -0.331 -4.392
4.837 -2.619 3.519
Hg Ir
2 1
Direct
0.985 0.985 0.000
0.682 0.682 0.000
0.333 0.333 0.000
```

Computed properties:
SG   I4/mmm, No. 139
Size of the total moment   0.00 μB per cell
ΔE_f   0.51 eV/atom